Below is a relaxed structure of CrNiGeO6, with properties calculated at the PBE+U level.

```
18
Lattice="-4.4066 -0.7967 0.1630 0.2258 -2.0607 -3.9727 1.5505 -7.7364 4.1012" Properties=species:S:1:pos:R:3 pbc="T T T"
Cr 0.0003 -0.0016 0.0008
Cr -1.3149 -5.2986 0.1466
Ge 0.5184 -2.5864 1.3711
Ge -0.7968 -7.8834 1.5168
Ni -1.8323 -2.7165 -1.2222
Ni 1.0333 -5.1560 2.7333
O -1.8473 -7.1250 0.1084
O -0.3917 -3.1097 -2.5083
O -3.2729 -2.3235 0.0640
O 0.2938 -8.5352 2.9377
O -0.7242 -3.4844 0.2538
O -0.2668 -6.0448 1.5486
O -2.1745 -7.5481 2.7772
O 0.0549 -5.6208 -1.1149
O -2.4028 -4.6317 -1.2758
O 0.5981 -8.3046 0.3020
O -1.3949 -9.6894 1.3988
O -2.7064 -4.8674 1.3503
```

Summary:
Energy = -6.099 eV per atom
Space group = P4_2nm, No. 102